No. 1
The following is a PBE calculation of crystalline PuBeCo at its relaxed geometry, from OQMD via LeMat-Bulk.

Values from the calculation:
- Relative energy among the computed polymorphs: 651 meV/atom
- VASP energy: -7.344 eV per atom

Unit cell a=3.974 b=3.974 c=3.974 alpha=60.00 beta=60.00 gamma=60.00
Fractional coordinates of all 3 atoms:
Be 0.000 0.000 0.000
Pu 0.250 0.250 0.250
Co 0.750 0.750 0.750


No. 2
The following is a PBE calculation of crystalline NdHfTh at its relaxed geometry, from OQMD via LeMat-Bulk.

Values from the calculation:
- Relative energy among the computed polymorphs: 0 meV/atom
- VASP energy: -6.628 eV per atom
- Formation enthalpy at 0 K: 0.749 eV/atom

Unit cell a=5.216 b=5.216 c=5.216 alpha=60.00 beta=60.00 gamma=60.00
Fractional coordinates of all 3 atoms:
Th 0.750 0.750 0.750
Nd 0.250 0.250 0.250
Hf 0.000 0.000 0.000